Nd2MgGe: optimized geometry, PBE.

## Properties
Its symmetry is P4/mmm. Its total energy is -17.35 eV per cell.

Geometry as POSCAR:
```
Nd2MgGe
1.0
5.028 0.000 0.000
0.000 5.028 0.000
0.000 0.000 4.166
Nd Mg Ge
2 1 1
direct
0.000 0.500 0.000
0.500 0.000 0.000
0.000 0.000 0.500
0.500 0.500 0.500
```

=====

NdMgGe2: optimized geometry, PBE.

## Properties
Its symmetry is P4/mmm. Its total energy is -17.11 eV per cell.

Geometry as POSCAR:
```
NdMgGe2
1.0
3.619 0.000 0.000
0.000 3.619 0.000
0.000 0.000 6.647
Nd Mg Ge
1 1 2
direct
0.000 0.000 0.000
0.000 0.000 0.500
0.500 0.500 0.296
0.500 0.500 0.704
```

=====

Nd2MgGe: optimized geometry, PBE.

## Properties
Its symmetry is R-3m. Its total energy is -16.95 eV per cell.

Geometry as POSCAR:
```
Nd2MgGe
1.0
2.197 1.268 7.619
-2.197 1.268 7.619
0.000 -2.537 7.619
Nd Mg Ge
2 1 1
direct
0.234 0.234 0.234
0.766 0.766 0.766
0.000 0.000 0.000
0.500 0.500 0.500
```

=====

Nd2MgGe: optimized geometry, PBE.

## Properties
Its symmetry is R-3m. Its total energy is -15.94 eV per cell.

Geometry as POSCAR:
```
Nd2MgGe
1.0
2.054 1.186 10.372
-2.054 1.186 10.372
0.000 -2.372 10.372
Nd Mg Ge
2 1 1
direct
0.113 0.113 0.113
0.887 0.887 0.887
0.000 0.000 0.000
0.500 0.500 0.500
```

=====

NdMgGe: optimized geometry, PBE.

## Properties
Its symmetry is Pmma. Its total energy is -76.22 eV per cell.

Geometry as POSCAR:
```
NdMgGe
1.0
13.045 0.000 0.000
0.000 4.389 0.000
0.000 0.000 7.615
Nd Mg Ge
6 6 6
direct
0.050 0.000 0.230
0.250 0.000 0.847
0.450 0.000 0.230
0.550 0.000 0.770
0.750 0.000 0.153
0.950 0.000 0.770
0.120 0.500 0.562
0.250 0.500 0.207
0.380 0.500 0.562
0.620 0.500 0.438
0.750 0.500 0.793
0.880 0.500 0.438
0.094 0.500 0.940
0.250 0.000 0.453
0.406 0.500 0.940
0.594 0.500 0.060
0.750 0.000 0.547
0.906 0.500 0.060
```

=====

NdMgGe: optimized geometry, PBE.

## Properties
Its symmetry is Cmcm. Its total energy is -24.58 eV per cell.

Geometry as POSCAR:
```
NdMgGe
1.0
2.096 -8.089 0.000
2.096 8.089 0.000
0.000 0.000 4.331
Nd Mg Ge
2 2 2
direct
0.085 0.915 0.750
0.915 0.085 0.250
0.250 0.750 0.250
0.750 0.250 0.750
0.372 0.628 0.750
0.628 0.372 0.250
```

=====

NdMgGe2: optimized geometry, PBE.

## Properties
Its symmetry is P4/mmm. Its total energy is -17.50 eV per cell.

Geometry as POSCAR:
```
NdMgGe2
1.0
4.565 0.000 0.000
0.000 4.565 0.000
0.000 0.000 4.198
Nd Mg Ge
1 1 2
direct
0.000 0.000 0.000
0.500 0.500 0.000
0.000 0.500 0.500
0.500 0.000 0.500
```

=====

NdMgGe: optimized geometry, PBE.

## Properties
Its symmetry is P-6m2. Its total energy is -12.53 eV per cell.

Geometry as POSCAR:
```
NdMgGe
1.0
4.490 0.000 0.000
-2.245 3.888 0.000
0.000 0.000 4.220
Nd Mg Ge
1 1 1
direct
0.000 0.000 0.000
0.333 0.667 0.500
0.667 0.333 0.500
```

=====

NdMgGe2: optimized geometry, PBE.

## Properties
Its symmetry is Pnma. Its total energy is -70.90 eV per cell.

Geometry as POSCAR:
```
NdMgGe2
1.0
8.178 0.000 0.000
0.000 3.985 0.000
0.000 0.000 10.974
Nd Mg Ge
4 4 8
direct
0.123 0.250 0.145
0.377 0.750 0.645
0.623 0.250 0.355
0.877 0.750 0.855
0.011 0.750 0.395
0.489 0.250 0.895
0.511 0.750 0.105
0.989 0.250 0.605
0.168 0.250 0.808
0.250 0.250 0.449
0.250 0.750 0.949
0.332 0.750 0.308
0.668 0.250 0.692
0.750 0.250 0.051
0.750 0.750 0.551
0.832 0.750 0.192
```

=====

Nd2MgNi4Ge3: optimized geometry, PBE.

## Properties
Its symmetry is P-4m2. Its total energy is -54.13 eV per cell.

Geometry as POSCAR:
```
Nd2MgNi4Ge3
1.0
4.164 0.000 0.000
0.000 4.164 0.000
0.000 0.000 9.948
Nd Mg Ni Ge
2 1 4 3
direct
0.000 0.500 0.240
0.500 0.000 0.760
0.000 0.000 0.500
0.000 0.000 0.000
0.000 0.500 0.639
0.500 0.000 0.361
0.500 0.500 0.000
0.000 0.500 0.876
0.500 0.000 0.124
0.500 0.500 0.500
```

=====

NdMg2NiGe2: optimized geometry, PBE.

## Properties
Its symmetry is I4/mmm. Its total energy is -22.96 eV per cell.

Geometry as POSCAR:
```
NdMg2NiGe2
1.0
-2.572 2.572 5.362
2.572 -2.572 5.362
2.572 2.572 -5.362
Nd Mg Ni Ge
1 2 1 2
direct
0.000 0.000 0.000
0.250 0.750 0.500
0.750 0.250 0.500
0.500 0.500 0.000
0.294 0.294 0.000
0.706 0.706 0.000
```

=====

NdMgNi2Ge2: optimized geometry, PBE.

## Properties
Its symmetry is P-3m1. Its total energy is -30.73 eV per cell.

Geometry as POSCAR:
```
NdMgNi2Ge2
1.0
4.178 0.000 0.000
-2.089 3.618 0.000
0.000 0.000 6.906
Nd Mg Ni Ge
1 1 2 2
direct
0.000 0.000 0.000
0.000 0.000 0.500
0.333 0.667 0.664
0.667 0.333 0.336
0.333 0.667 0.285
0.667 0.333 0.715
```

=====

NdMgGe2Os: optimized geometry, PBE.

## Properties
Its symmetry is I-4m2. Its total energy is -28.72 eV per cell.

Geometry as POSCAR:
```
NdMgGe2Os
1.0
-2.063 2.063 5.681
2.063 -2.063 5.681
2.063 2.063 -5.681
Nd Mg Ge Os
1 1 2 1
direct
0.000 0.000 0.000
0.250 0.750 0.500
0.386 0.386 0.000
0.614 0.614 0.000
0.750 0.250 0.500
```

=====

Here are the calculated calculated formation energy numbers, same order: -1.6, -1.5, -1.2, -0.2, -1.7, -1.3, -1.9, -1.6, -2.1, -6.0, 0.0, -3.6, -1.9 (eV/f.u.).
Here are the calculated M_tot numbers, same order: 0.000, 0.000, 0.000, 0.000, 0.000, 0.000, 0.000, 0.000, 0.000, 0.000, 0.000, 0.000, 0.000 (μB per formula unit).
Here are the calculated DOS at the Fermi energy numbers, same order: 2.64, 2.04, 4.34, 3.36, 14.01, 3.89, 1.74, 2.29, 5.97, 6.58, 2.68, 3.14, 4.27 (states/eV per cell).